Run P
DFT (PBE+U) results for an optimized crystal structure of MnAsSe2O.

- Magnetic moment: 0.03 μB per atom
- D(E_F): 6.77 states/eV per cell

Lattice parameters (Å, degrees): 4.568 4.568 4.682 90.00 90.00 90.00
Atoms (fractional coordinates):
Mn: 0.000 0.000 0.000
As: 0.000 0.000 0.500
Se: 0.000 0.500 0.000
Se: 0.500 0.000 0.000
O: 0.500 0.500 0.500

Run Q
DFT (PBE+U) results for an optimized crystal structure of MnAsSe2O.

- Magnetic moment: 0.83 μB per atom
- D(E_F): 3.31 states/eV per cell

Lattice parameters (Å, degrees): 4.591 4.591 4.327 90.00 90.00 90.00
Atoms (fractional coordinates):
Mn: 0.000 0.000 0.000
As: 0.500 0.500 0.000
Se: 0.000 0.500 0.500
Se: 0.500 0.000 0.500
O: 0.500 0.500 0.500

Short version: run P is the least stable of them.

Run P
DFT (PBE+U) results for an optimized crystal structure of MnAs2SeO.

- Magnetic moment: 0.77 μB per atom
- D(E_F): 6.02 states/eV per cell

Lattice parameters (Å, degrees): 5.056 5.056 4.866 90.00 90.00 90.00
Atoms (fractional coordinates):
Mn: 0.000 0.000 0.000
As: 0.000 0.500 0.500
As: 0.500 0.000 0.500
Se: 0.000 0.000 0.500
O: 0.500 0.500 0.000

Run Q
DFT (PBE+U) results for an optimized crystal structure of MnAs2SeO.

- Magnetic moment: 0.88 μB per atom
- D(E_F): 2.52 states/eV per cell

Lattice parameters (Å, degrees): 4.260 4.260 4.987 90.00 90.00 90.00
Atoms (fractional coordinates):
Mn: 0.000 0.000 0.000
As: 0.000 0.500 0.500
As: 0.500 0.000 0.500
Se: 0.500 0.500 0.000
O: 0.500 0.500 0.500

Short version: run P is the least stable of them.